# 1
The following is a PBE-GGA calculation of a relaxed CrHg2Br crystal, from Alexandria via LeMat-Bulk.

a = 4.116 Å, b = 4.116 Å, c = 6.172 Å
α = 90.00°, β = 90.00°, γ = 90.00°
Atoms (fractional coordinates):
Cr1 0.000 0.000 0.000
Hg1 0.000 0.500 0.500
Hg2 0.500 0.000 0.500
Br1 0.500 0.500 0.000

The crystal system is tetragonal. Its symmetry is P4/mmm. The energy above the lowest structure with this stoichiometry comes out at 158 meV/atom. The formation energy (no corrections) is 182 meV/atom.



# 2
The following is a PBE-GGA calculation of a relaxed KBaAuSe crystal, from Alexandria via LeMat-Bulk.

a = 5.626 Å, b = 5.626 Å, c = 5.626 Å
α = 60.00°, β = 60.00°, γ = 60.00°
Atoms (fractional coordinates):
K1 0.000 0.000 0.000
Ba1 0.500 0.500 0.500
Au1 0.250 0.250 0.250
Se1 0.750 0.750 0.750

The crystal system is cubic. Its symmetry is F-43m. The formation energy (no corrections) is -1083 meV/atom.



# 3
The following is a PBE-GGA calculation of a relaxed PrTmMnIn crystal, from Alexandria via LeMat-Bulk.

a = 5.272 Å, b = 5.272 Å, c = 5.272 Å
α = 60.00°, β = 60.00°, γ = 60.00°
Atoms (fractional coordinates):
Pr1 0.000 0.000 0.000
Tm1 0.500 0.500 0.500
Mn1 0.750 0.750 0.750
In1 0.250 0.250 0.250

The crystal system is cubic. Its symmetry is F-43m. The energy of formation from the pure elements comes out at -0.065 eV/atom.



# 4
The following is a PBE-GGA calculation of a relaxed HoErSn crystal, from Alexandria via LeMat-Bulk.

a = 6.709 Å, b = 4.846 Å, c = 10.146 Å
α = 90.00°, β = 90.00°, γ = 90.00°
Atoms (fractional coordinates):
Ho1 0.073 0.250 0.209
Ho2 0.427 0.750 0.709
Ho3 0.573 0.250 0.291
Ho4 0.927 0.750 0.791
Er1 0.164 0.250 0.550
Er2 0.336 0.750 0.050
Er3 0.664 0.250 0.950
Er4 0.836 0.750 0.450
Sn1 0.196 0.250 0.873
Sn2 0.304 0.750 0.373
Sn3 0.696 0.250 0.627
Sn4 0.804 0.750 0.127

The crystal system is orthorhombic. Its symmetry is Pnma. The energy above the lowest structure with this stoichiometry comes out at 0 meV/atom. The energy of formation from the pure elements comes out at -0.582 eV/atom.



# 5
The following is a PBE-GGA calculation of a relaxed Li2Y2Pt crystal, from Alexandria via LeMat-Bulk.

a = 6.724 Å, b = 6.724 Å, c = 4.533 Å
α = 90.00°, β = 90.00°, γ = 90.00°
Atoms (fractional coordinates):
Li1 0.127 0.373 0.000
Li2 0.373 0.873 0.000
Li3 0.627 0.127 0.000
Li4 0.873 0.627 0.000
Y1 0.193 0.693 0.500
Y2 0.307 0.193 0.500
Y3 0.693 0.807 0.500
Y4 0.807 0.307 0.500
Pt1 0.000 0.000 0.000
Pt2 0.500 0.500 0.000

The crystal system is tetragonal. Its symmetry is P4/mbm. The energy above the lowest structure with this stoichiometry comes out at 99 meV/atom. The energy of formation from the pure elements comes out at -0.255 eV/atom.



# 6
The following is a PBE-GGA calculation of a relaxed KBiPd2 crystal, from Alexandria via LeMat-Bulk.

a = 4.780 Å, b = 7.371 Å, c = 6.387 Å
α = 90.00°, β = 90.00°, γ = 90.00°
Atoms (fractional coordinates):
K1 0.250 0.250 0.126
K2 0.750 0.750 0.874
Bi1 0.250 0.750 0.354
Bi2 0.750 0.250 0.646
Pd1 0.250 0.059 0.599
Pd2 0.250 0.441 0.599
Pd3 0.750 0.559 0.401
Pd4 0.750 0.941 0.401

The crystal system is orthorhombic. Its symmetry is Pmmn. The energy above the lowest structure with this stoichiometry comes out at 0 meV/atom. The energy of formation from the pure elements comes out at -0.300 eV/atom.



# 7
The following is a PBE-GGA calculation of a relaxed Ti3In2Pd3 crystal, from Alexandria via LeMat-Bulk.

a = 7.348 Å, b = 7.348 Å, c = 14.174 Å
α = 90.00°, β = 90.00°, γ = 157.49°
Atoms (fractional coordinates):
Ti1 0.015 0.985 0.750
Ti2 0.108 0.892 0.070
Ti3 0.108 0.892 0.430
Ti4 0.892 0.108 0.570
Ti5 0.892 0.108 0.930
Ti6 0.985 0.015 0.250
In1 0.216 0.784 0.620
In2 0.216 0.784 0.880
In3 0.784 0.216 0.120
In4 0.784 0.216 0.380
Pd1 0.164 0.836 0.250
Pd2 0.451 0.549 0.090
Pd3 0.451 0.549 0.410
Pd4 0.549 0.451 0.590
Pd5 0.549 0.451 0.910
Pd6 0.836 0.164 0.750

The crystal system is orthorhombic. Its symmetry is Cmcm. The energy of formation from the pure elements comes out at -0.267 eV/atom.



# 8
The following is a PBE-GGA calculation of a relaxed Na3HBrCl crystal, from Alexandria via LeMat-Bulk.

a = 8.256 Å, b = 4.140 Å, c = 9.107 Å
α = 90.00°, β = 97.90°, γ = 90.00°
Atoms (fractional coordinates):
Na1 0.093 0.250 0.359
Na2 0.355 0.250 0.961
Na3 0.386 0.750 0.659
Na4 0.614 0.250 0.341
Na5 0.645 0.750 0.039
Na6 0.907 0.750 0.641
H1 0.392 0.750 0.901
H2 0.608 0.250 0.099
Br1 0.339 0.750 0.322
Br2 0.661 0.250 0.678
Cl1 0.138 0.250 0.664
Cl2 0.862 0.750 0.336

The crystal system is monoclinic. Its symmetry is P2_1/m. The uncorrected energy is -2.931 eV per atom.



Number 1: size of the total moment 4.86 μB per formula unit. Number 2: size of the total moment 0.00 μB per formula unit. Number 3: size of the total moment 3.38 μB per formula unit. Number 4: size of the total moment 0.00 μB per formula unit. Number 5: size of the total moment 0.00 μB per formula unit. Number 6: size of the total moment 0.00 μB per formula unit. Number 7: size of the total moment 0.00 μB per formula unit. Number 8: size of the total moment 0.00 μB per formula unit.